V2Cu3O8: optimized geometry, PBE with a Hubbard U.

Computed properties:
calculated total energy: -163.1 eV/cell
SG: No. 15
V: 302.70 Å³/cell
magnetic moment: 0.07 μB per atom
energy above the lowest structure with this stoichiometry: 87 meV/atom
ρ: 4.61 g cm⁻³

```
26
Lattice="5.675 -2.504 0.000 5.675 2.504 0.000 -0.951 0.000 10.652" Properties=species:S:1:pos:R:3 pbc="T T T"
V 2.472 1.315 6.848
V 7.453 1.315 9.130
V 2.947 -1.315 1.522
V 7.928 -1.315 3.804
Cu 3.268 1.448 10.176
Cu 5.438 1.993 2.663
Cu 6.657 1.448 5.802
Cu 3.744 -1.448 4.850
Cu 4.962 -1.993 7.989
Cu 7.132 -1.448 0.476
O 0.705 0.575 6.751
O 9.695 -0.575 3.901
O 0.501 0.133 9.390
O 0.976 -0.133 4.064
O 2.923 0.546 8.368
O 1.181 -0.575 1.425
O 3.114 0.208 5.625
O 3.589 -0.208 0.299
O 3.398 -0.546 3.042
O 7.002 0.546 7.610
O 6.811 0.208 10.353
O 7.287 -0.208 5.027
O 9.219 0.575 9.227
O 7.477 -0.546 2.284
O 9.424 0.133 6.588
O 9.900 -0.133 1.262
```